[1]
A plane-wave DFT calculation with PBE-GGA was carried out for a geometry-optimized Tb3Pr2PuSe6 structure.

a b c (Å): 9.3232 9.3232 8.3925
angles (deg): 103.62 103.62 25.57
With the nearest neighbours (Å) after each atom.
Atoms (fractional coordinates):
1 Tb 0.0000 0.0000 0.0000  6 Se 2.89-2.93
2 Tb 0.3321 0.3321 0.6641  6 Se 2.88-2.91
3 Tb 0.6679 0.6679 0.3359  6 Se 2.88-2.91
4 Pr 0.3340 0.3340 0.1677  6 Se 2.99-3.01
5 Pr 0.6660 0.6660 0.8323  6 Se 2.99-3.01
6 Pu 0.0000 0.0000 0.5000  6 Se 2.95-2.96
7 Se 0.1635 0.1635 0.0922  3 Tb 2.89, 3 Pr 3.01
8 Se 0.1671 0.1671 0.5744  3 Tb 2.88-2.91, 1 Pu 2.95, 2 Pr 2.99
9 Se 0.4961 0.4961 0.7509  3 Tb 2.90-2.93, 2 Pu 2.96, 1 Pr 3.00
10 Se 0.5039 0.5039 0.2491  3 Tb 2.90-2.93, 2 Pu 2.96, 1 Pr 3.00
11 Se 0.8329 0.8329 0.4256  3 Tb 2.88-2.91, 1 Pu 2.95, 2 Pr 2.99
12 Se 0.8365 0.8365 0.9078  3 Tb 2.89, 3 Pr 3.01

energy relative to the elements, uncorrected = -1.774 eV/atom
raw total energy = -6.665 eV/atom
calculated volume = 25.5 Å³ per atom

***

[2]
A plane-wave DFT calculation with PBE-GGA was carried out for a geometry-optimized TbPrPu2Se4 structure.

a b c (Å): 7.1975 4.1494 7.2381
angles (deg): 90.00 109.31 90.00
With the nearest neighbours (Å) after each atom.
Atoms (fractional coordinates):
1 Tb 0.0000 0.0000 0.0000  6 Se 2.93
2 Pr 0.5000 0.5000 0.0000  6 Se 2.98-2.99
3 Pu 0.0000 0.5000 0.5000  6 Se 2.90
4 Pu 0.5000 0.0000 0.5000  6 Se 2.96
5 Se 0.2417 0.0000 0.7440  3 Pu 2.90-2.96, 1 Tb 2.93, 2 Pr 2.99
6 Se 0.2439 0.5000 0.2508  3 Pu 2.90-2.96, 2 Tb 2.93, 1 Pr 2.98
7 Se 0.7561 0.5000 0.7492  3 Pu 2.90-2.96, 2 Tb 2.93, 1 Pr 2.98
8 Se 0.7583 0.0000 0.2560  3 Pu 2.90-2.96, 1 Tb 2.93, 2 Pr 2.99

energy relative to the elements, uncorrected = -1.686 eV/atom
raw total energy = -8.187 eV/atom
calculated volume = 25.5 Å³ per atom

***

[3]
A plane-wave DFT calculation with PBE-GGA was carried out for a geometry-optimized PrPuTe2Se structure.

a b c (Å): 4.4261 4.4261 15.6311
angles (deg): 90.00 90.00 90.00
With the nearest neighbours (Å) after each atom.
Atoms (fractional coordinates):
1 Pr 0.2500 0.2500 0.0965  6 Te 3.14-3.30
2 Pr 0.7500 0.7500 0.9035  6 Te 3.14-3.30
3 Pu 0.2500 0.2500 0.6262  4 Se 2.96
4 Pu 0.7500 0.7500 0.3738  4 Se 2.96
5 Te 0.2500 0.2500 0.3000  1 Pr 3.18, 4 Pu 3.34
6 Te 0.2500 0.2500 0.8853  5 Pr 3.14-3.30
7 Te 0.7500 0.7500 0.1147  5 Pr 3.14-3.30
8 Te 0.7500 0.7500 0.7000  1 Pr 3.18, 4 Pu 3.34
9 Se 0.2500 0.7500 0.5000  4 Pu 2.96, 4 Se 3.13
10 Se 0.7500 0.2500 0.5000  4 Pu 2.96, 4 Se 3.13

energy relative to the elements, uncorrected = -1.229 eV/atom
raw total energy = -7.005 eV/atom
calculated volume = 30.6 Å³ per atom